Entry 1:
# SrCd2Ni

A relaxed SrCd2Ni crystal (PBE, the Alexandria database).

Structure (POSCAR):
```
SrCd2Ni
1.0
4.276 0.000 0.000
0.000 4.382 0.000
0.000 0.000 5.096
Sr Cd Ni
1 2 1
Cartesian
0.000 0.000 0.000
0.000 2.191 2.548
2.138 0.000 2.548
2.138 2.191 0.000
```

SG	No. 47

---

Entry 2:
# Sr3CdNi

A relaxed Sr3CdNi crystal (PBE, the Alexandria database).

Structure (POSCAR):
```
Sr3CdNi
1.0
5.751 0.000 0.000
0.000 5.751 0.000
0.000 0.000 5.751
Sr Cd Ni
3 1 1
Cartesian
0.000 0.000 2.876
0.000 2.876 0.000
2.876 0.000 0.000
2.876 2.876 2.876
0.000 0.000 0.000
```

polymorph energy (0 for the lowest one)	97	meV/atom
SG	No. 221

---

| no. | ΔE_f (eV per atom) |
| --- | --- |
| 1 | 0.093 |
| 2 | -0.043 |